{"formula": "K4V3F10", "functional": "GGA+U", "state": "relaxed", "dos_ef_per_ev_atom": 0.000, "sg": "I4/mmm", "final_energy_ev_per_cell": -92.48, "lattice": [[-2.108, 2.108, 15.104], [2.108, -2.108, 15.104], [2.108, 2.108, -15.104]], "species": ["K", "K", "K", "K", "V", "V", "V", "F", "F", "F", "F", "F", "F", "F", "F", "F", "F"], "fractional_positions": [[0.069, 0.069, 0.000], [0.204, 0.204, 0.000], [0.796, 0.796, 0.000], [0.931, 0.931, 0.000], [0.360, 0.360, 0.000], [0.500, 0.500, 0.000], [0.640, 0.640, 0.000], [0.000, 0.500, 0.500], [0.139, 0.639, 0.500], [0.290, 0.290, 0.000], [0.361, 0.861, 0.500], [0.430, 0.430, 0.000], [0.500, 0.000, 0.500], [0.570, 0.570, 0.000], [0.639, 0.139, 0.500], [0.710, 0.710, 0.000], [0.861, 0.361, 0.500]]}